(1)
! PBE HfCoSi, optimized geometry; values from VASP
! Total DFT energy (no corrections) ... -0.602 Ry/atom
! V ... 43.40 Å³/f.u.
! Formation energy from raw total energies ... -0.6919 eV/atom
&SYSTEM
  ibrav = 0, nat = 12, ntyp = 3
/
ATOMIC_SPECIES
Hf 178.49 Hf.upf
Co 58.93 Co.upf
Si 28.09 Si.upf
ATOMIC_POSITIONS crystal
Hf 0.000 0.209 0.250
Hf 0.000 0.791 0.750
Hf 0.500 0.291 0.750
Hf 0.500 0.709 0.250
Co 0.000 0.082 0.750
Co 0.000 0.918 0.250
Co 0.500 0.418 0.250
Co 0.500 0.582 0.750
Si 0.000 0.500 0.000
Si 0.000 0.500 0.500
Si 0.500 0.000 0.000
Si 0.500 0.000 0.500
CELL_PARAMETERS angstrom
3.788 0.000 0.000
0.000 9.257 0.000
0.000 0.000 4.951


(2)
! PBE Hf2Co4Si, optimized geometry; values from VASP
! Total DFT energy (no corrections) ... -0.551 Ry/atom
! V ... 107.87 Å³/f.u.
! Formation energy from raw total energies ... 0.1859 eV/atom
&SYSTEM
  ibrav = 0, nat = 14, ntyp = 3
/
ATOMIC_SPECIES
Hf 178.49 Hf.upf
Co 58.93 Co.upf
Si 28.09 Si.upf
ATOMIC_POSITIONS crystal
Hf 0.000 0.000 0.147
Hf 0.000 0.000 0.853
Hf 0.500 0.500 0.353
Hf 0.500 0.500 0.647
Co 0.000 0.000 0.336
Co 0.000 0.000 0.664
Co 0.000 0.500 0.000
Co 0.000 0.500 0.500
Co 0.500 0.000 0.000
Co 0.500 0.000 0.500
Co 0.500 0.500 0.164
Co 0.500 0.500 0.836
Si 0.000 0.000 0.500
Si 0.500 0.500 0.000
CELL_PARAMETERS angstrom
4.057 0.000 0.000
0.000 4.057 0.000
0.000 0.000 13.106